No. 1
# TiGa2S4

Crystalline TiGa2S4 at its relaxed geometry (PBE, Alexandria).

```
TiGa2S4
1.0
-3.6195 3.6195 3.1142
3.6195 -3.6195 3.1142
3.6195 3.6195 -3.1142
Ti Ga S
1 2 4
direct
0.0000 0.0000 0.0000 Ti
0.2500 0.7500 0.5000 Ga
0.7500 0.2500 0.5000 Ga
0.1504 0.3148 0.4651 S
0.3148 0.8496 0.1644 S
0.6852 0.1504 0.8356 S
0.8496 0.6852 0.5349 S
```

Calculated values
uncorrected formation energy = -617 meV per atom
M_tot = 2.0 μB/cell

No. 2
# AlInRu3

Crystalline AlInRu3 at its relaxed geometry (PBE, Alexandria).

```
AlInRu3
1.0
4.4650 0.0000 0.0000
0.0000 4.4650 0.0000
0.0000 0.0000 4.4650
Al In Ru
1 1 3
direct
0.0000 0.0000 0.0000 Al
0.5000 0.5000 0.5000 In
0.0000 0.0000 0.5000 Ru
0.0000 0.5000 0.0000 Ru
0.5000 0.0000 0.0000 Ru
```

Calculated values
distance to the lowest polymorph of the same formula = 0 meV per atom
formation energy = 0.804 eV/atom
M_tot = 1.9 μB/cell

No. 3
# Ta3Co

Crystalline Ta3Co at its relaxed geometry (PBE, Alexandria).

```
Ta3Co
1.0
4.6913 0.0000 0.0000
0.0000 5.3451 0.0000
0.0000 0.0000 5.2646
Ta Co
6 2
direct
0.2500 0.0025 0.1372 Ta
0.2500 0.4975 0.1372 Ta
0.2500 0.7500 0.6117 Ta
0.7500 0.2500 0.3883 Ta
0.7500 0.5025 0.8628 Ta
0.7500 0.9975 0.8628 Ta
0.2500 0.2500 0.6580 Co
0.7500 0.7500 0.3420 Co
```

Calculated values
formation energy = 0.127 eV/atom
M_tot = 0.0 μB/cell